No. 1
Here is crystalline LiGdMg at its relaxed geometry from the Alexandria database. Energies are from PBE.

Computed properties:
Symmetry: P3m1, No. 156
Energy above the lowest structure with this stoichiometry (eV per atom): 0.000
ΔE_f (eV/atom): 0.012
Density (Mg/m³): 4.1
DFT total energy (Ha/atom): -0.2150

abc: 3.224 5.200 5.200
angles: 120.00 90.00 90.00
Positions (direct):
Mg 0.164 0.000 0.000
Gd 0.666 0.333 0.667
Li 0.170 0.667 0.333

---

No. 2
Here is crystalline NbAl2Co at its relaxed geometry from the Alexandria database. Energies are from PBE.

Computed properties:
Symmetry: P4/mmm, No. 123
ΔE_f (eV/atom): -0.473
Density (Mg/m³): 6.0
DFT total energy (Ha/atom): -0.2439

abc: 2.873 2.873 6.866
angles: 90.00 90.00 90.00
Positions (direct):
Nb 0.500 0.500 0.500
Co 0.500 0.500 0.000
Al 0.000 0.000 0.796
Al 0.000 0.000 0.204